Density functional theory data (GGA-PBE) for an optimized crystal structure of Ac3Ag2.

abc: 4.2109 9.0192 9.0192
angles: 90.00 90.00 90.00
Positions (direct):
1 Ac 0.0000 0.5000 0.5000
2 Ac 0.0000 0.0000 0.0000
3 Ag 0.0000 0.6245 0.1245
4 Ag 0.0000 0.1245 0.3755
5 Ac 0.5000 0.8344 0.3344
6 Ag 0.0000 0.8755 0.6245
7 Ac 0.5000 0.6656 0.8344
8 Ac 0.5000 0.1656 0.6656
9 Ac 0.5000 0.3344 0.1656
10 Ag 0.0000 0.3755 0.8755

Summary:
excess energy over the best structure of this formula in the dataset: 25 meV per atom
uncorrected energy: -18.94 eV per formula unit
energy relative to the elements: -0.183 eV per atom